Below is crystalline Ac3Tl3Zn at its relaxed geometry, with properties calculated at the PBE level.

- E (eV per atom) = -3.2873
- M_tot (μB/cell) = 0.0

Cell and atoms, written as CIF:
```
data_Ac3Tl3Zn
_cell_length_a 12.142
_cell_length_b 4.974
_cell_length_c 16.446
_cell_angle_alpha 90.00
_cell_angle_beta 110.47
_cell_angle_gamma 90.00
_space_group_name_H-M_alt 'C 1 2/m 1'
_space_group_IT_number 12
loop_
_space_group_symop_operation_xyz
'x,y,z'
'-x,-y,-z'
'-x,y,-z'
'x,-y,z'
'x+1/2,y+1/2,z'
'-x+1/2,-y+1/2,-z'
'-x+1/2,y+1/2,-z'
'x+1/2,-y+1/2,z'
loop_
_atom_site_label
_atom_site_type_symbol
_atom_site_fract_x
_atom_site_fract_y
_atom_site_fract_z
Ac1 Ac 0.041 0.000 0.388
Ac2 Ac 0.096 0.000 0.920
Ac3 Ac 0.245 0.000 0.230
Tl1 Tl 0.034 0.500 0.238
Tl2 Tl 0.121 0.500 0.077
Tl3 Tl 0.143 0.500 0.541
Zn1 Zn 0.245 0.500 0.389
```